The following is a DFT calculation (PBE-GGA) of MnAl2Ge after structural relaxation.

Cell and atoms, written as extended XYZ:
```
8
Lattice="-0.609 2.678 -2.650 -2.222 -3.718 -0.500 -5.942 2.964 4.361" Properties=species:S:1:pos:R:3 pbc="T T T"
Al -3.643 1.846 -0.045
Ge -4.477 2.204 3.256
Ge -4.296 -0.280 -2.045
Mn -5.741 2.639 1.238
Al -1.544 0.799 -1.586
Al -5.129 0.078 1.257
Al -7.228 1.125 2.797
Mn -3.031 -0.714 -0.026
```

Results
DFT total energy (eV for the cell shown): -43.67
Crystal system: orthorhombic
E_form (eV/atom): -0.14
Symmetry: Cmcm
Magnetic moment (μB/f.u.): 0.70